(1)
The following is a DFT calculation (GGA-PBE) of GdTcP after structural relaxation.

It has space group P-6m2 (No. 187), with a = 4.0841 Å, b = 4.0841 Å, c = 4.0600 Å, α = 90.00°, β = 90.00° and γ = 120.00°. The asymmetric unit holds Gd at (0.0000, 0.0000, 0.0000), Tc at (0.6667, 0.3333, 0.5000) and P at (0.3333, 0.6667, 0.5000).

Its density of states at the Fermi level is 2.699 states/eV per cell. As for the total energy: -10.623 eV per atom. The calculation puts the energy of formation from the pure elements at -670.3 meV per atom. The calculation puts the calculated volume at 19.5 Å³/atom.

***

(2)
The following is a DFT calculation (GGA-PBE) of Cu2HPd2 after structural relaxation.

It has space group I4/mmm (No. 139), with a = 3.644 Å, b = 3.644 Å, c = 12.071 Å, α = 90.00°, β = 90.00° and γ = 90.00°. The asymmetric unit holds Cu at (0.000, 0.000, 0.098), H at (0.000, 0.000, 0.500) and Pd at (0.000, 0.500, 0.250).

Its density of states at the Fermi level is 8.490 states/eV per cell. As for the total energy: -3.551 eV per atom. The calculation puts the energy above the most stable polymorph in this dataset at 449.8 kJ/mol of formula units. The calculation puts the calculated volume at 16.0 Å³/atom.

***

(3)
The following is a DFT calculation (GGA-PBE) of LuReB2 after structural relaxation.

It has space group R-3m (No. 166, hexagonal axes), with a = 3.2560 Å, b = 3.2560 Å, c = 16.9213 Å, α = 90.00°, β = 90.00° and γ = 120.00°. The asymmetric unit holds Lu at (0.0000, 0.0000, 0.0000), Re at (0.0000, 0.0000, 0.5000) and B at (0.0000, 0.0000, 0.2364).

Its density of states at the Fermi level is 3.840 states/eV per cell. As for the total energy: -7.744 eV per atom. The calculation puts the energy of formation from the pure elements at -163.4 meV per atom. The calculation puts the calculated volume at 12.9 Å³/atom.